# 1
Computed, not measured: crystalline BaGa4Au3 at its relaxed geometry at the PBE level of DFT.

abc: 4.5216 4.5216 8.7339
angles: 90.00 90.00 90.00
Closest atoms and distances in Å follow each position.
Element x y z (fractional)
Ba 0.0000 0.0000 0.0000  8 Au 3.51, 8 Ga 3.68
Ga 0.0000 0.5000 0.3321  4 Au 2.69, 1 Ga 2.93
Ga 0.0000 0.5000 0.6679  4 Au 2.69, 1 Ga 2.93
Ga 0.5000 0.0000 0.3321  4 Au 2.69, 1 Ga 2.93
Ga 0.5000 0.0000 0.6679  4 Au 2.69, 1 Ga 2.93
Au 0.0000 0.0000 0.5000  8 Ga 2.69
Au 0.5000 0.5000 0.1654  4 Ga 2.69, 1 Au 2.89
Au 0.5000 0.5000 0.8346  4 Ga 2.69, 1 Au 2.89

Summary:
space-group type: P4/mmm (123)
electronic total energy: -0.25310 Ry per atom

=====

# 2
Computed, not measured: crystalline CePa2Sn at its relaxed geometry at the PBE level of DFT.

abc: 5.2271 5.2271 5.2271
angles: 60.00 60.00 60.00
Closest atoms and distances in Å follow each position.
Element x y z (fractional)
Ce 0.0000 0.0000 0.0000  8 Pa 3.20
Pa 0.2500 0.2500 0.2500  4 Ce 3.20, 4 Sn 3.20
Pa 0.7500 0.7500 0.7500  4 Sn 3.20, 4 Ce 3.20
Sn 0.5000 0.5000 0.5000  8 Pa 3.20

Summary:
space-group type: Fm-3m (225)
electronic total energy: -0.52577 Ry per atom

=====

# 3
Computed, not measured: crystalline NaSrPm2Tl4 at its relaxed geometry at the PBE level of DFT.

abc: 9.7097 9.7097 9.7097
angles: 32.88 32.88 32.88
Closest atoms and distances in Å follow each position.
Element x y z (fractional)
Na 0.0000 0.0000 0.0000  8 Tl 3.31-3.36
Sr 0.5000 0.5000 0.5000  8 Tl 3.42-3.47
Pm 0.2555 0.2555 0.2555  7 Tl 3.26-3.38
Pm 0.7445 0.7445 0.7445  7 Tl 3.26-3.38
Tl 0.1202 0.1202 0.1202  1 Na 3.31, 3 Pm 3.38, 3 Sr 3.42
Tl 0.3739 0.3739 0.3739  4 Pm 3.26-3.33, 3 Na 3.36, 1 Sr 3.47
Tl 0.6261 0.6261 0.6261  4 Pm 3.26-3.33, 3 Na 3.36, 1 Sr 3.47
Tl 0.8798 0.8798 0.8798  1 Na 3.31, 3 Pm 3.38, 3 Sr 3.42

Summary:
space-group type: R-3m (166)
electronic total energy: -0.22393 Ry per atom